A plane-wave DFT calculation with GGA-PBE was carried out for a relaxed BaLaP2 crystal.

Its theoretical density is 4.33 g/cm³. As for the density of states at the Fermi level: 1.93 states/eV/f.u. The volume is 259.2 Å³ per cell. The calculation puts the calculated formation energy at -867 meV per atom. The calculation puts the final energy at -0.19418 hartree per atom. For the relative energy among the computed polymorphs, the calculation gives 0.227 eV per atom.

Unit cell a=8.021 b=8.021 c=6.957 alpha=54.80 beta=54.80 gamma=90.00
Positions (direct):
P 0.653 0.125 0.250
P 0.097 0.625 0.250
P 0.375 0.347 0.750
P 0.875 0.903 0.750
Ba 0.500 0.500 0.000
Ba 0.250 0.750 0.500
La 0.000 0.000 0.000
La 0.750 0.250 0.500